Entry from Alexandria via LeMat-Bulk: crystalline CeHo4Tl4 at its relaxed geometry (PBE).

abc: 9.4013 9.4013 5.9189
angles: 90.00 90.00 90.00
Space group P4_2/n (No. 86, origin choice 2)
Symmetry-distinct sites (fractional):
Ce  0.2500  0.2500  0.2500
Ho  0.0913  0.8263  0.6425
Tl  0.0355  0.1440  0.8473

Values from the calculation:
Its crystal system is tetragonal. As for the formation energy: -0.99 eV/f.u.



Entry from Alexandria via LeMat-Bulk: crystalline BaZrGa2As at its relaxed geometry (PBE).

abc: 5.2757 5.2757 5.1703
angles: 90.00 90.00 90.00
Space group P4/mmm (No. 123)
Symmetry-distinct sites (fractional):
Ba  0.0000  0.0000  0.0000
Zr  0.5000  0.5000  0.0000
Ga  0.0000  0.5000  0.5000
As  0.5000  0.5000  0.5000

Values from the calculation:
Its crystal system is tetragonal. As for the formation energy: 0.60 eV/f.u.



Entry from Alexandria via LeMat-Bulk: crystalline LaAl2CdCo at its relaxed geometry (PBE).

abc: 4.6014 4.6014 4.9487
angles: 90.00 90.00 90.00
Space group P4/mmm (No. 123)
Symmetry-distinct sites (fractional):
La  0.0000  0.0000  0.0000
Al  0.0000  0.5000  0.5000
Cd  0.5000  0.5000  0.0000
Co  0.5000  0.5000  0.5000

Values from the calculation:
Its crystal system is tetragonal. As for the formation energy: -1.52 eV/f.u.



Entry from Alexandria via LeMat-Bulk: crystalline ScUAlOs at its relaxed geometry (PBE).

abc: 6.6316 6.6316 6.6316
angles: 90.00 90.00 90.00
Space group F-43m (No. 216)
Symmetry-distinct sites (fractional):
Sc  0.0000  0.0000  0.0000
U  0.2500  0.2500  0.7500
Al  0.2500  0.2500  0.2500
Os  0.0000  0.0000  0.5000

Values from the calculation:
Its crystal system is cubic. As for the formation energy: -0.68 eV/f.u.



Entry from Alexandria via LeMat-Bulk: crystalline Na3YI6 at its relaxed geometry (PBE).

abc: 12.2113 12.2113 12.2113
angles: 90.00 90.00 90.00
Space group Fm-3m (No. 225)
Symmetry-distinct sites (fractional):
Na  0.0000  0.0000  0.0000
Na  0.2500  0.2500  0.2500
Y  0.0000  0.0000  0.5000
I  0.0000  0.0000  0.2538

Values from the calculation:
Its crystal system is cubic. The calculation puts the formation energy from raw total energies at -1.141 eV per atom.



Entry from Alexandria via LeMat-Bulk: crystalline TlTe4Au2 at its relaxed geometry (PBE).

abc: 11.1584 11.1319 9.6115
angles: 90.00 125.46 90.00
Space group C2/c (No. 15)
Symmetry-distinct sites (fractional):
Tl  0.0000  0.1247  0.2500
Te  0.0090  0.2584  0.5361
Te  0.2227  0.4914  0.9636
Au  0.0000  0.5000  0.0000
Au  0.2500  0.2500  0.0000

Values from the calculation:
Its crystal system is monoclinic. The calculation puts the formation energy from raw total energies at -0.050 eV per atom.



no.,total moment (μB per formula unit),E_tot (Ha/atom)
1,1.42,-0.142
2,0.86,-0.151
3,0.00,-0.161
4,2.01,-0.306
5,0.00,-0.114
6,0.00,-0.115